## 1
## LaTcPb2 (PBE)

Data for a geometry-optimized LaTcPb2 structure.

Results
- DOS(E_F) (states/eV/cell) = 3.22
- total magnetic moment (Bohr magnetons per cell) = 0.00
- symmetry = P2/m

Lattice parameters (Å, degrees): 4.8823 3.7403 5.8455 77.26 90.00 90.00
Element x y z (fractional)
La (0.5000, 0.7500, 0.7500)
Tc (0.5000, 0.2500, 0.2500)
Pb (0.0000, 0.3977, 0.4732)
Pb (0.0000, 0.1023, 0.0268)

***

## 2
## LaTcPb2 (PBE)

Data for a geometry-optimized LaTcPb2 structure.

Results
- DOS(E_F) (states/eV/cell) = 3.48
- total magnetic moment (Bohr magnetons per cell) = 1.75
- symmetry = P4/mmm

Lattice parameters (Å, degrees): 4.8843 4.5971 4.5971 90.00 90.00 90.00
Site moments in Bohr magnetons follow the coordinates.
Element x y z (fractional)
La (0.5000, 0.0000, 0.5000)  -0.06
Pb (0.0000, 0.0000, 0.0000)  -0.01
Pb (0.0000, 0.5000, 0.5000)  -0.01
Tc (0.5000, 0.5000, 0.0000)  1.65

***

## 3
## LaTcPb2 (PBE)

Data for a geometry-optimized LaTcPb2 structure.

Results
- DOS(E_F) (states/eV/cell) = 8.76
- total magnetic moment (Bohr magnetons per cell) = 2.24
- symmetry = I-42d

Lattice parameters (Å, degrees): 4.4590 4.4590 11.5370 78.86 78.86 90.00
Site moments in Bohr magnetons follow the coordinates.
Element x y z (fractional)
La (0.0000, 0.0000, 0.0000)  -0.07
La (0.7500, 0.2500, 0.5000)  -0.07
Pb (0.3750, 0.3975, 0.7500)  -0.03
Pb (0.1475, 0.6250, 0.2500)  -0.03
Tc (0.2500, 0.7500, 0.5000)  1.19
Pb (0.8750, 0.8525, 0.7500)  -0.03
Tc (0.5000, 0.5000, 0.0000)  1.20
Pb (0.6025, 0.1250, 0.2500)  -0.03

***

## 4
## LaTcPb2 (PBE)

Data for a geometry-optimized LaTcPb2 structure.

Results
- DOS(E_F) (states/eV/cell) = 2.24
- total magnetic moment (Bohr magnetons per cell) = 0.00
- symmetry = Fm-3m

Lattice parameters (Å, degrees): 5.1529 5.1529 5.1529 60.00 60.00 60.00
Element x y z (fractional)
Pb (0.7500, 0.7500, 0.7500)
La (0.5000, 0.5000, 0.5000)
Pb (0.2500, 0.2500, 0.2500)
Tc (0.0000, 0.0000, 0.0000)

***

Which structure is the most stable? The one labeled 4.

***

## 1
## La3TcPb (PBE)

Data for a geometry-optimized La3TcPb structure.

Results
- DOS(E_F) (states/eV/cell) = 3.70
- total magnetic moment (Bohr magnetons per cell) = 0.00
- symmetry = Pm-3m

Lattice parameters (Å, degrees): 5.4479 5.4479 5.4479 90.00 90.00 90.00
Element x y z (fractional)
La (0.0000, 0.0000, 0.5000)
La (0.0000, 0.5000, 0.0000)
Tc (0.0000, 0.0000, 0.0000)
La (0.5000, 0.0000, 0.0000)
Pb (0.5000, 0.5000, 0.5000)

***

## 2
## La3TcPb (PBE)

Data for a geometry-optimized La3TcPb structure.

Results
- DOS(E_F) (states/eV/cell) = 19.50
- total magnetic moment (Bohr magnetons per cell) = 0.00
- symmetry = P2_1/c

Lattice parameters (Å, degrees): 8.4579 6.6716 11.2115 90.00 103.22 90.00
Element x y z (fractional)
Tc (0.1081, 0.1722, 0.5603)
La (0.8958, 0.2430, 0.0618)
La (0.8535, 0.0328, 0.6739)
La (0.1042, 0.7570, 0.9382)
Tc (0.6081, 0.3278, 0.0603)
Pb (0.0818, 0.4870, 0.3615)
La (0.2597, 0.7585, 0.6469)
Pb (0.9182, 0.5130, 0.6385)
La (0.7403, 0.2415, 0.3531)
La (0.3958, 0.2570, 0.5618)
Pb (0.5818, 0.0130, 0.8615)
La (0.1465, 0.9672, 0.3261)
Pb (0.4182, 0.9870, 0.1385)
La (0.2403, 0.2585, 0.8531)
Tc (0.3919, 0.6722, 0.9397)
Tc (0.8919, 0.8278, 0.4397)
La (0.3535, 0.4672, 0.1739)
La (0.7597, 0.7415, 0.1469)
La (0.6465, 0.5328, 0.8261)
La (0.6042, 0.7430, 0.4382)

***

Which structure is the most stable? The one labeled 1.

***

## 1
## LaTc3Pb (PBE)

Data for a geometry-optimized LaTc3Pb structure.

Results
- DOS(E_F) (states/eV/cell) = 7.08
- total magnetic moment (Bohr magnetons per cell) = 3.72
- symmetry = Pm-3m

Lattice parameters (Å, degrees): 5.0400 5.0400 5.0400 90.00 90.00 90.00
Site moments in Bohr magnetons follow the coordinates.
Element x y z (fractional)
Pb (0.0000, 0.0000, 0.0000)  -0.04
Tc (0.5000, 0.0000, 0.0000)  0.84
La (0.5000, 0.5000, 0.5000)  0.01
Tc (0.0000, 0.0000, 0.5000)  1.30
Tc (0.0000, 0.5000, 0.0000)  1.22

***

## 2
## LaTc3Pb (PBE)

Data for a geometry-optimized LaTc3Pb structure.

Results
- DOS(E_F) (states/eV/cell) = 5.05
- total magnetic moment (Bohr magnetons per cell) = 5.59
- symmetry = Pm-3m

Lattice parameters (Å, degrees): 4.9382 4.9382 4.9382 90.00 90.00 90.00
Site moments in Bohr magnetons follow the coordinates.
Element x y z (fractional)
Tc (0.0000, 0.5000, 0.0000)  1.70
Tc (0.5000, 0.0000, 0.0000)  1.64
Tc (0.0000, 0.0000, 0.5000)  1.78
La (0.0000, 0.0000, 0.0000)  0.05
Pb (0.5000, 0.5000, 0.5000)  -0.04

***

Which structure is the most stable? The one labeled 1.